No. 1
Density functional theory data (PBE-GGA) for a relaxed structure of LaTa4Cd.

Structure (POSCAR):
```
LaTa4Cd
1.0
0.000 4.044 4.044
4.044 0.000 4.044
4.044 4.044 0.000
La Ta Cd
1 4 1
Cartesian
0.000 0.000 0.000
5.070 3.018 3.018
3.018 5.070 3.018
3.018 3.018 5.070
5.070 5.070 5.070
2.022 2.022 2.022
```

Calculated values
**Energy of formation from the pure elements**: 0.43 eV/atom

No. 2
Density functional theory data (PBE-GGA) for a relaxed structure of Ce2CdH.

Structure (POSCAR):
```
Ce2CdH
1.0
1.602 0.925 8.986
-1.602 0.925 8.986
0.000 -1.850 8.986
Ce Cd H
2 1 1
Cartesian
0.000 0.000 6.111
0.000 0.000 20.847
0.000 0.000 0.000
0.000 0.000 13.479
```

Calculated values
**E above lowest polymorph**: 0.0 kJ per mole of atoms

No. 3
Density functional theory data (PBE-GGA) for a relaxed structure of PmAl4Pt8.

Structure (POSCAR):
```
PmAl4Pt8
1.0
-4.413 4.413 2.714
4.413 -4.413 2.714
4.413 4.413 -2.714
Pm Al Pt
1 4 8
Cartesian
0.000 0.000 0.000
2.207 2.207 -1.357
2.207 -2.207 1.357
-2.207 2.207 1.357
2.207 2.207 1.357
2.953 0.000 0.000
5.873 0.000 0.000
4.413 2.418 0.000
0.000 2.953 0.000
2.418 4.413 0.000
1.995 0.000 2.714
0.000 5.873 0.000
0.000 1.995 2.714
```

Calculated values
**Energy of formation from the pure elements**: -0.92 eV/atom

No. 4
Density functional theory data (PBE-GGA) for a relaxed structure of Li2ReF2.

Structure (POSCAR):
```
Li2ReF2
1.0
-1.434 1.434 9.359
1.434 -1.434 9.359
1.434 1.434 -9.359
Li Re F
2 1 2
Cartesian
1.434 0.000 4.679
0.000 1.434 4.679
0.000 0.000 0.000
0.000 0.000 5.677
0.000 0.000 13.041
```

Calculated values
**Formation energy without anion corrections**: -5.085 eV per formula unit
**E above lowest polymorph**: 0.0 kJ per mole of atoms

What is the formula in the fourth record? Li2ReF2